First-principles (GGA-PBE) data for AcSbF6 after structural relaxation, as listed in the Alexandria database.

The space group is Amm2 (No. 38) and the conventional cell measures 4.2452, 7.1195 and 7.4107 Å, with angles of 90.00, 90.00 and 90.00 degrees. The inequivalent atoms are Ac at (0.0000, 0.0000, 0.0000), Sb at (0.5000, 0.0000, 0.4933), F at (0.0000, 0.0000, 0.3892), F at (0.0000, 0.1944, 0.6804), F at (0.5000, 0.0000, 0.2191) and F at (0.5000, 0.2005, 0.9270).

The value obtained for the raw formation energy is -3.19 eV/atom.

***

First-principles (GGA-PBE) data for Sr2TmBe2O6 after structural relaxation, as listed in the Alexandria database.

The space group is R-3m (No. 166, hexagonal axes) and the conventional cell measures 5.5205, 5.5205 and 16.9882 Å, with angles of 90.00, 90.00 and 120.00 degrees. The inequivalent atoms are Sr at (0.0000, 0.0000, 0.2091), Tm at (0.0000, 0.0000, 0.0000), Be at (0.0000, 0.0000, 0.4215) and O at (0.0124, 0.5062, 0.2467).

The value obtained for the raw formation energy is -2.72 eV/atom.

***

First-principles (GGA-PBE) data for AlPSe after structural relaxation, as listed in the Alexandria database.

The space group is P1 (No. 1) and the conventional cell measures 3.8535, 4.7452 and 7.2500 Å, with angles of 85.97, 84.73 and 89.26 degrees. The inequivalent atoms are Al at (0.0000, 0.0000, 0.0000), Al at (0.4293, 0.4163, 0.3552), P at (0.4872, 0.3233, 0.8786), P at (0.4889, 0.6751, 0.0625), Se at (0.3271, 0.6390, 0.6436) and Se at (0.9367, 0.1007, 0.3405).

The value obtained for the raw formation energy is -0.42 eV/atom.